No. 1
This record from the Alexandria database describes Ca4ZrTi3Ge4O20 at its PBEsol-relaxed geometry. The functional is meta-GGA SCAN.

a = 6.6373 Å, b = 8.0868 Å, c = 7.9129 Å
α = 68.06°, β = 85.47°, γ = 87.97°
Closest atoms and distances in Å follow each position.
Element x y z (fractional)
Ca1 0.6576 0.1874 0.5244  5 O 2.27-2.55
Ca2 0.1413 0.6846 0.0436  5 O 2.28-2.54
Ca3 0.8587 0.3154 0.9564  5 O 2.28-2.54
Ca4 0.3424 0.8126 0.4756  5 O 2.27-2.55
Zr1 0.5000 0.0000 0.0000  6 O 2.03-2.11
Ti1 0.0000 0.5000 0.5000  6 O 1.89-2.03
Ti2 0.7499 0.7510 0.7439  6 O 1.85-2.04
Ti3 0.2501 0.2490 0.2561  6 O 1.85-2.04
Ge1 0.8804 0.9409 0.3090  4 O 1.75-1.78
Ge2 0.3719 0.4467 0.8062  4 O 1.75-1.77
Ge3 0.6281 0.5533 0.1938  4 O 1.75-1.77
Ge4 0.1196 0.0591 0.6910  4 O 1.75-1.78
O1 0.4546 0.7282 0.1654  1 Ge 1.75
O2 0.9545 0.2411 0.6640  1 Ge 1.76
O3 0.6838 0.8872 0.4845  1 Ge 1.77
O4 0.1876 0.3937 0.9926  1 Ge 1.77
O5 0.0455 0.7589 0.3360  1 Ge 1.76
O6 0.5454 0.2718 0.8346  1 Ge 1.75
O7 0.8124 0.6063 0.0074  1 Ge 1.77
O8 0.3162 0.1128 0.5155  1 Ge 1.77
O9 0.4703 0.6526 0.7914  1 Ge 1.77
O10 0.9700 0.1461 0.3074  1 Ge 1.78
O11 0.2189 0.9915 0.9052  1 Ge 1.75
O12 0.7373 0.4948 0.4032  1 Ge 1.75
O13 0.0300 0.8539 0.6926  1 Ge 1.78
O14 0.5297 0.3474 0.2086  1 Ge 1.77
O15 0.2627 0.5052 0.5968  1 Ge 1.75
O16 0.7811 0.0085 0.0948  1 Ge 1.75
O17 0.8637 0.5583 0.6892  2 Ti 1.89
O18 0.3496 0.0527 0.2080  1 Ti 1.85, 1 Zr 2.03
O19 0.6504 0.9473 0.7920  1 Ti 1.85, 1 Zr 2.03
O20 0.1363 0.4417 0.3108  2 Ti 1.89

ΔE_f (raw)   -8932 kJ/mol of formula units
Space-group type   P-1 (2)

***

No. 2
This record from the Alexandria database describes CaTm2Ge4O12 at its PBEsol-relaxed geometry. The functional is meta-GGA SCAN.

a = 5.0331 Å, b = 9.9121 Å, c = 9.9121 Å
α = 89.89°, β = 90.00°, γ = 90.00°
Closest atoms and distances in Å follow each position.
Element x y z (fractional)
Ca1 0.5000 0.5000 0.5000  4 O 2.26
Ca2 0.5000 0.0000 0.0000  4 O 2.26
Tm1 0.5000 0.0000 0.5000  6 O 2.15-2.38
Tm2 0.5000 0.5000 0.0000  6 O 2.15-2.38
Tm3 0.5000 0.7500 0.7500  8 O 2.27-2.37
Tm4 0.5000 0.2500 0.2500  8 O 2.27-2.37
Ge1 0.9957 0.7497 0.0183  4 O 1.72-1.83
Ge2 0.0043 0.2503 0.9817  4 O 1.72-1.83
Ge3 0.0043 0.2497 0.5183  4 O 1.72-1.83
Ge4 0.9957 0.7503 0.4817  4 O 1.72-1.83
Ge5 0.0043 0.0183 0.7497  4 O 1.72-1.83
Ge6 0.9957 0.9817 0.2503  4 O 1.72-1.83
Ge7 0.9957 0.5183 0.2497  4 O 1.72-1.83
Ge8 0.0043 0.4817 0.7503  4 O 1.72-1.83
O1 0.2542 0.5732 0.6755  1 Ge 1.72
O2 0.2622 0.0597 0.3294  1 Ge 1.74
O3 0.2622 0.4403 0.1706  1 Ge 1.74
O4 0.2542 0.9268 0.8245  1 Ge 1.72
O5 0.7458 0.4268 0.3245  1 Ge 1.72
O6 0.7378 0.9403 0.6706  1 Ge 1.74
O7 0.7378 0.5597 0.8294  1 Ge 1.74
O8 0.7458 0.0732 0.1755  1 Ge 1.72
O9 0.7458 0.6755 0.5732  1 Ge 1.72
O10 0.7378 0.3294 0.0597  1 Ge 1.74
O11 0.7378 0.1706 0.4403  1 Ge 1.74
O12 0.7458 0.8245 0.9268  1 Ge 1.72
O13 0.2542 0.3245 0.4268  1 Ge 1.72
O14 0.2622 0.6706 0.9403  1 Ge 1.74
O15 0.2622 0.8294 0.5597  1 Ge 1.74
O16 0.2542 0.1755 0.0732  1 Ge 1.72
O17 0.1487 0.8695 0.1305  2 Ge 1.80
O18 0.1718 0.3782 0.8782  2 Ge 1.83
O19 0.1718 0.1218 0.6218  2 Ge 1.83
O20 0.1487 0.6305 0.3695  2 Ge 1.80
O21 0.8513 0.1305 0.8695  2 Ge 1.80
O22 0.8282 0.6218 0.1218  2 Ge 1.83
O23 0.8282 0.8782 0.3782  2 Ge 1.83
O24 0.8513 0.3695 0.6305  2 Ge 1.80

ΔE_f (raw)   -4806 kJ/mol of formula units
Space-group type   Cmme (67)